Record 1
A relaxed Zn4CoMo crystal. Source: Alexandria via LeMat-Bulk, functional PBE.

a = 6.941 Å, b = 6.941 Å, c = 6.941 Å
α = 90.00°, β = 90.00°, γ = 90.00°
Space group F-43m (No. 216)
One atom of each set of equivalent atoms:
Zn: 0.125 0.125 0.125
Co: 0.250 0.250 0.750
Mo: 0.000 0.000 0.500

Density   8.27 g/cm³
Formation energy from the elements   23.2 kJ/mol of atoms
Magnetization   2.92 μB/f.u.

***

Record 2
A relaxed ZnCoMo2 crystal. Source: Alexandria via LeMat-Bulk, functional PBE.

a = 6.103 Å, b = 6.103 Å, c = 6.103 Å
α = 90.00°, β = 90.00°, γ = 90.00°
Space group F-43m (No. 216)
One atom of each set of equivalent atoms:
Zn: 0.000 0.000 0.000
Co: 0.250 0.250 0.250
Mo: 0.000 0.000 0.500
Mo: 0.250 0.250 0.750

Density   9.24 g/cm³
Formation energy from the elements   24.1 kJ/mol of atoms
Magnetization   0.40 μB/f.u.

***

Record 3
A relaxed ZnCoMo crystal. Source: Alexandria via LeMat-Bulk, functional PBE.

a = 2.733 Å, b = 2.733 Å, c = 10.670 Å
α = 90.00°, β = 90.00°, γ = 90.00°
Space group I4mm (No. 107)
One atom of each set of equivalent atoms:
Zn: 0.000 0.000 0.000
Co: 0.000 0.000 0.654
Mo: 0.000 0.000 0.310

Density   9.18 g/cm³
Formation energy from the elements   3.1 kJ/mol of atoms
Magnetization   0.00 μB/f.u.
E above lowest polymorph   0.000 eV/atom

***

Record 4
A relaxed ZnCoMo2 crystal. Source: Alexandria via LeMat-Bulk, functional PBE.

a = 2.7144 Å, b = 2.7144 Å, c = 26.8606 Å
α = 90.00°, β = 90.00°, γ = 120.00°
Space group R-3m (No. 166, hexagonal axes)
One atom of each set of equivalent atoms:
Zn: 0.0000 0.0000 0.0000
Co: 0.0000 0.0000 0.5000
Mo: 0.0000 0.0000 0.2449

Density   9.19 g/cm³
Formation energy from the elements   22.5 kJ/mol of atoms
Magnetization   0.46 μB/f.u.